Sm6Mg2Ag: relaxed, PBE.

Cell: 6.411 9.661 10.103 Å, 90.00 117.41 90.00°
Fractional positions:
Sm  0.072  0.171  0.473
Sm  0.072  0.329  0.973
Sm  0.358  0.691  0.444
Sm  0.358  0.809  0.944
Sm  0.427  0.036  0.301
Sm  0.427  0.464  0.801
Sm  0.573  0.536  0.199
Sm  0.573  0.964  0.699
Sm  0.642  0.191  0.056
Sm  0.642  0.309  0.556
Sm  0.928  0.671  0.027
Sm  0.928  0.829  0.527
Mg  0.122  0.093  0.779
Mg  0.122  0.407  0.279
Mg  0.878  0.593  0.721
Mg  0.878  0.907  0.221
Ag  0.000  0.000  0.000
Ag  0.000  0.500  0.500

M_tot: 0.0 μB per formula unit
SG: P2_1/c, No. 14
Total energy: -3.773 eV per atom


Sm6MgAg5: relaxed, PBE.

Cell: 5.282 7.413 8.379 Å, 90.00 108.17 90.00°
Fractional positions:
Sm  0.000  0.240  0.000
Sm  0.000  0.760  0.000
Sm  0.329  0.249  0.659
Sm  0.329  0.751  0.659
Sm  0.671  0.249  0.341
Sm  0.671  0.751  0.341
Mg  0.500  0.500  0.000
Ag  0.155  0.500  0.309
Ag  0.167  0.000  0.334
Ag  0.500  0.000  0.000
Ag  0.833  0.000  0.666
Ag  0.845  0.500  0.691

M_tot: 0.0 μB per formula unit
SG: P2/m, No. 10
Total energy: -3.921 eV per atom


SmMg9Ag3: relaxed, PBE.

Cell: 7.628 7.628 7.610 Å, 97.65 97.65 136.81°
Fractional positions:
Sm  0.000  0.000  0.000
Mg  0.000  0.000  0.500
Mg  0.005  0.651  0.660
Mg  0.294  0.510  0.791
Mg  0.349  0.995  0.340
Mg  0.490  0.706  0.209
Mg  0.510  0.294  0.791
Mg  0.651  0.005  0.660
Mg  0.706  0.490  0.209
Mg  0.995  0.349  0.340
Ag  0.000  0.500  0.000
Ag  0.500  0.000  0.000
Ag  0.500  0.500  0.500

M_tot: 0.0 μB per formula unit
SG: C2/m, No. 12
Total energy: -2.286 eV per atom


Sm3Mg7Ag2: relaxed, PBE.

Cell: 10.207 10.207 10.207 Å, 33.98 33.98 33.98°
Fractional positions:
Sm  0.000  0.000  0.000
Sm  0.145  0.145  0.145
Sm  0.855  0.855  0.855
Mg  0.076  0.580  0.580
Mg  0.420  0.420  0.924
Mg  0.420  0.924  0.420
Mg  0.500  0.500  0.500
Mg  0.580  0.076  0.580
Mg  0.580  0.580  0.076
Mg  0.924  0.420  0.420
Ag  0.334  0.334  0.334
Ag  0.666  0.666  0.666

M_tot: 0.0 μB per formula unit
SG: R-3m, No. 166
Total energy: -2.720 eV per atom


Copy entry 3 word for word.
SmMg9Ag3: relaxed, PBE.

Cell: 7.628 7.628 7.610 Å, 97.65 97.65 136.81°
Fractional positions:
Sm  0.000  0.000  0.000
Mg  0.000  0.000  0.500
Mg  0.005  0.651  0.660
Mg  0.294  0.510  0.791
Mg  0.349  0.995  0.340
Mg  0.490  0.706  0.209
Mg  0.510  0.294  0.791
Mg  0.651  0.005  0.660
Mg  0.706  0.490  0.209
Mg  0.995  0.349  0.340
Ag  0.000  0.500  0.000
Ag  0.500  0.000  0.000
Ag  0.500  0.500  0.500

M_tot: 0.0 μB per formula unit
SG: C2/m, No. 12
Total energy: -2.286 eV per atom


- The highest total energy belongs to which entry?
  SmMg9Ag3


- Which of these has the lowest total energy?
  Sm6MgAg5